# 1
Here is RbPdO2F after structural relaxation from Alexandria. Energies are from GGA-PBE.

a = 4.396 Å, b = 4.396 Å, c = 4.959 Å
α = 90.00°, β = 90.00°, γ = 90.00°
Atoms (fractional coordinates):
O: 0.500 0.000 0.000
O: 0.000 0.500 0.000
F: 0.000 0.000 0.500
Pd: 0.500 0.500 0.500
Rb: 0.000 0.000 0.000



# 2
Here is RbPdO2F after structural relaxation from Alexandria. Energies are from GGA-PBE.

a = 3.952 Å, b = 3.952 Å, c = 4.984 Å
α = 90.00°, β = 90.00°, γ = 90.00°
Atoms (fractional coordinates):
Rb: 0.500 0.500 0.500
F: 0.000 0.000 0.500
Pd: 0.000 0.000 0.000
O: 0.500 0.000 0.000
O: 0.000 0.500 0.000



# 3
Here is RePdO2F after structural relaxation from Alexandria. Energies are from GGA-PBE.

a = 3.823 Å, b = 3.823 Å, c = 4.348 Å
α = 90.00°, β = 90.00°, γ = 90.00°
Atoms (fractional coordinates):
O: 0.500 0.000 0.000
O: 0.000 0.500 0.000
Re: 0.000 0.000 0.000
Pd: 0.500 0.500 0.500
F: 0.000 0.000 0.500



Looking at ΔE_f (raw) for the records above, in order, we have 17.34, -21.94, -16.53 kcal/mol of atoms.
Looking at Fermi-level density of states for the records above, in order, we have 1.59, 0.17, 2.14 states/eV per atom.